Here is Dy2Ga9Ni6 after structural relaxation from Alexandria via LeMat-Bulk. Energies are from PBE.

```
Dy2Ga9Ni6
1.0
-3.1476 0.2312 -4.2446
-0.7449 -3.7617 3.6432
-7.3108 7.0712 5.8065
Dy Ga Ni
2 9 6
Direct
0.0000 0.0000 0.6622 Dy
0.0000 0.0000 0.3378 Dy
0.5000 0.0000 0.8395 Ga
0.0000 0.5000 0.8395 Ga
0.5000 0.5000 0.8395 Ga
0.5000 0.0000 0.1605 Ga
0.0000 0.5000 0.1605 Ga
0.5000 0.5000 0.1605 Ga
0.5000 0.0000 0.5000 Ga
0.0000 0.5000 0.5000 Ga
0.5000 0.5000 0.5000 Ga
0.3333 0.6667 0.0000 Ni
0.6667 0.3333 0.0000 Ni
0.3333 0.6667 0.6720 Ni
0.6667 0.3333 0.6720 Ni
0.6667 0.3333 0.3280 Ni
0.3333 0.6667 0.3280 Ni
```

---

Dy3GaNi3, optimized geometry, DFT PBE; energy above the lowest structure with this stoichiometry = 0.315 eV per atom
1.0
5.3982 0.0000 0.0000
0.0000 8.2116 0.0000
0.0000 -4.1058 7.1115
Dy Ga Ni
6 2 6
Direct
0.7500 0.7060 0.6597 Dy
0.7500 0.3403 0.0463 Dy
0.7500 0.9537 0.2940 Dy
0.2500 0.2940 0.3403 Dy
0.2500 0.6597 0.9537 Dy
0.2500 0.0463 0.7060 Dy
0.2500 0.6667 0.3333 Ga
0.7500 0.3333 0.6667 Ga
0.2500 0.6713 0.6226 Ni
0.2500 0.3774 0.0487 Ni
0.2500 0.9513 0.3287 Ni
0.7500 0.3287 0.3774 Ni
0.7500 0.6226 0.9513 Ni
0.7500 0.0487 0.6713 Ni

---

Here is DyGa3Ni2 after structural relaxation from Alexandria via LeMat-Bulk. Energies are from PBE.

```
DyGa3Ni2
1.0
-3.1200 1.6351 1.7930
-3.3057 -5.9775 -4.6576
2.3431 -4.4271 8.1144
Dy Ga Ni
3 9 6
Direct
0.1472 0.2944 0.6948 Dy
0.8528 0.7056 0.3052 Dy
0.0000 0.0000 0.0000 Dy
0.0533 0.1067 0.3518 Ga
0.9467 0.8933 0.6482 Ga
0.2240 0.4480 0.3758 Ga
0.7760 0.5520 0.6242 Ga
0.6404 0.2807 0.1920 Ga
0.3596 0.7193 0.8080 Ga
0.5000 0.0000 0.5000 Ga
0.3550 0.7100 0.0660 Ga
0.6450 0.2900 0.9340 Ga
0.2102 0.4203 0.0882 Ni
0.7898 0.5797 0.9118 Ni
0.4922 0.9845 0.2331 Ni
0.5078 0.0155 0.7669 Ni
0.3583 0.7167 0.5544 Ni
0.6417 0.2833 0.4456 Ni
```

---

Here is DyGa2Ni5 after structural relaxation from Alexandria via LeMat-Bulk. Energies are from PBE.

```
DyGa2Ni5
1.0
-1.0909 3.4143 0.5940
-0.1176 0.8529 5.9932
4.7658 3.0912 2.0955
Dy Ga Ni
1 2 5
Direct
0.0000 0.0000 0.0000 Dy
0.7525 0.7475 0.7475 Ga
0.2475 0.2525 0.2525 Ga
0.0000 0.5000 0.5000 Ni
0.6330 0.5553 0.1786 Ni
0.3670 0.4447 0.8214 Ni
0.3670 0.8214 0.4447 Ni
0.6330 0.1786 0.5553 Ni
```

---

Here is Dy2GaNi7 after structural relaxation from Alexandria via LeMat-Bulk. Energies are from PBE.

```
Dy2GaNi7
1.0
-1.4279 -2.2121 -2.7016
3.2526 -1.9043 -0.1599
-3.5338 -6.6501 7.3130
Dy Ga Ni
2 1 7
Direct
0.5000 0.0000 0.7338 Dy
0.0000 0.5000 0.2662 Dy
0.5000 0.5000 0.0000 Ga
0.0000 0.5000 0.8570 Ni
0.5000 0.0000 0.3610 Ni
0.5000 0.0000 0.1430 Ni
0.0000 0.5000 0.6390 Ni
0.0000 0.0000 0.5000 Ni
0.0000 0.0000 0.0000 Ni
0.5000 0.5000 0.5000 Ni
```

---

Here is DyGa4Ni4 after structural relaxation from Alexandria via LeMat-Bulk. Energies are from PBE.

```
DyGa4Ni4
1.0
-0.2427 2.9489 -3.2664
-6.9365 2.4992 2.7717
3.7067 5.2935 4.5036
Dy Ga Ni
2 8 8
Direct
0.0000 0.0000 0.0000 Dy
0.5000 0.5000 0.5000 Dy
0.5022 0.4051 0.8629 Ga
0.0022 0.6371 0.9051 Ga
0.5022 0.5949 0.1371 Ga
0.9978 0.0949 0.6371 Ga
0.4978 0.8629 0.5949 Ga
0.9978 0.9051 0.3629 Ga
0.0022 0.3629 0.0949 Ga
0.4978 0.1371 0.4051 Ga
0.4980 0.8828 0.2259 Ni
0.4980 0.1172 0.7741 Ni
0.9979 0.7260 0.6172 Ni
0.0021 0.3828 0.7260 Ni
0.0021 0.6172 0.2740 Ni
0.5020 0.2259 0.1172 Ni
0.5020 0.7741 0.8828 Ni
0.9979 0.2740 0.3828 Ni
```

---

Dy12GaNi6, optimized geometry, DFT PBE; energy above the lowest structure with this stoichiometry = 0.000 eV per atom
1.0
-5.3760 2.9442 -5.6707
-4.0237 -5.0575 5.2874
3.3400 6.3712 4.2401
Dy Ga Ni
12 1 6
Direct
0.3011 0.1146 0.8136 Dy
0.3011 0.4875 0.1864 Dy
0.6989 0.5125 0.8136 Dy
0.6989 0.8854 0.1864 Dy
0.1146 0.8136 0.3011 Dy
0.4875 0.1864 0.3011 Dy
0.5125 0.8136 0.6989 Dy
0.8854 0.1864 0.6989 Dy
0.8136 0.3011 0.1146 Dy
0.1864 0.3011 0.4875 Dy
0.8136 0.6989 0.5125 Dy
0.1864 0.6989 0.8854 Dy
0.0000 0.0000 0.0000 Ga
0.3755 0.5000 0.8755 Ni
0.6245 0.5000 0.1245 Ni
0.5000 0.8755 0.3755 Ni
0.5000 0.1245 0.6245 Ni
0.8755 0.3755 0.5000 Ni
0.1245 0.6245 0.5000 Ni

---

Here is Dy6GaNi2 after structural relaxation from Alexandria via LeMat-Bulk. Energies are from PBE.

```
Dy6GaNi2
1.0
8.3181 -0.0278 -0.0301
-2.3091 7.9912 0.0301
-2.7728 -4.1565 6.6503
Dy Ga Ni
12 2 4
Direct
0.0415 0.7362 0.3053 Dy
0.9585 0.2638 0.6947 Dy
0.5691 0.2638 0.3053 Dy
0.4309 0.7362 0.6947 Dy
0.6737 0.8661 0.1924 Dy
0.3263 0.5188 0.1924 Dy
0.3263 0.1339 0.8076 Dy
0.6737 0.4812 0.8076 Dy
0.1803 0.2152 0.3955 Dy
0.8197 0.2152 0.0349 Dy
0.1803 0.7848 0.9651 Dy
0.8197 0.7848 0.6045 Dy
0.0000 0.5000 0.5000 Ga
0.5000 0.0000 0.5000 Ga
0.6527 0.5000 0.1527 Ni
0.3473 0.5000 0.8473 Ni
0.8785 0.8785 0.0000 Ni
0.1215 0.1215 0.0000 Ni
```

---

Here is DyGa6Ni6 after structural relaxation from Alexandria via LeMat-Bulk. Energies are from PBE.

```
DyGa6Ni6
1.0
-1.6177 4.2919 2.0365
-4.9848 2.6031 -3.2625
-4.8570 -0.9022 4.2266
Dy Ga Ni
1 6 6
Direct
0.0000 0.0000 0.0000 Dy
0.3450 0.6550 0.6550 Ga
0.6550 0.3450 0.3450 Ga
0.0000 0.3426 0.6574 Ga
0.0000 0.6574 0.3426 Ga
0.3145 0.1855 0.1855 Ga
0.6855 0.8145 0.8145 Ga
0.0000 0.5000 0.0000 Ni
0.5000 0.5000 0.0000 Ni
0.0000 0.0000 0.5000 Ni
0.5000 0.0000 0.5000 Ni
0.5000 0.7622 0.2378 Ni
0.5000 0.2378 0.7622 Ni
```

---

Here is Dy3Ga3Ni after structural relaxation from Alexandria via LeMat-Bulk. Energies are from PBE.

```
Dy3Ga3Ni
1.0
4.2159 0.0000 0.6351
2.0805 5.3234 0.4999
0.1250 0.0240 13.4814
Dy Ga Ni
6 6 2
Direct
0.5299 0.3250 0.6151 Dy
0.4701 0.6750 0.3849 Dy
0.2580 0.2483 0.2358 Dy
0.7420 0.7517 0.7642 Dy
0.3950 0.2881 0.9220 Dy
0.6050 0.7119 0.0780 Dy
0.8509 0.7580 0.5402 Ga
0.1491 0.2420 0.4598 Ga
0.1102 0.8562 0.9234 Ga
0.8898 0.1438 0.0766 Ga
0.9643 0.8344 0.2369 Ga
0.0357 0.1656 0.7631 Ga
0.7530 0.1002 0.3938 Ni
0.2470 0.8998 0.6062 Ni
```

---

Here is DyGaNi after structural relaxation from Alexandria via LeMat-Bulk. Energies are from PBE.

```
DyGaNi
1.0
2.0789 4.9070 -0.0323
-2.0789 4.9070 -0.0323
0.0000 4.3033 5.3297
Dy Ga Ni
2 2 2
Direct
0.4418 0.4418 0.8131 Dy
0.5582 0.5582 0.1869 Dy
0.8218 0.8218 0.5975 Ga
0.1782 0.1782 0.4025 Ga
0.1553 0.1553 0.8006 Ni
0.8447 0.8447 0.1994 Ni
```

---

Here is Dy4Ga3Ni after structural relaxation from Alexandria via LeMat-Bulk. Energies are from PBE.

```
Dy4Ga3Ni
1.0
-3.5558 -1.1024 1.1009
0.7633 -3.9574 -1.4976
3.9492 -2.9482 9.8033
Dy Ga Ni
4 3 1
Direct
0.5000 0.5000 0.3415 Dy
0.0000 0.5000 0.8721 Dy
0.0000 0.0000 0.1398 Dy
0.5000 0.0000 0.6504 Dy
0.0000 0.5000 0.5738 Ga
0.0000 0.0000 0.4246 Ga
0.5000 0.0000 0.9297 Ga
0.5000 0.5000 0.0682 Ni
```

---

Here is Dy2Ga2Ni after structural relaxation from Alexandria via LeMat-Bulk. Energies are from PBE.

```
Dy2Ga2Ni
1.0
4.2216 0.0000 0.0000
2.1108 5.2496 -0.2252
2.1108 -0.0790 9.2930
Dy Ga Ni
4 4 2
Direct
0.6750 0.3167 0.3334 Dy
0.9275 0.2628 0.8821 Dy
0.3250 0.6833 0.6666 Dy
0.0725 0.7372 0.1179 Dy
0.0970 0.2475 0.5585 Ga
0.6364 0.8449 0.8823 Ga
0.9030 0.7525 0.4415 Ga
0.3636 0.1551 0.1177 Ga
0.6195 0.1041 0.6570 Ni
0.3805 0.8959 0.3430 Ni
```

---

Here is Dy4Ga16Ni3 after structural relaxation from Alexandria via LeMat-Bulk. Energies are from PBE.

```
Dy4Ga16Ni3
1.0
6.0961 0.0000 0.0000
0.0000 6.0961 0.0000
0.0000 0.0000 10.9903
Dy Ga Ni
4 16 3
Direct
0.5000 0.0000 0.8072 Dy
0.0000 0.5000 0.1928 Dy
0.0000 0.5000 0.8072 Dy
0.5000 0.0000 0.1928 Dy
0.0000 0.0000 0.7747 Ga
0.2822 0.2822 0.0000 Ga
0.5000 0.5000 0.8005 Ga
0.7178 0.2822 0.0000 Ga
0.5000 0.5000 0.1995 Ga
0.7178 0.7178 0.0000 Ga
0.0000 0.0000 0.2253 Ga
0.7458 0.7458 0.6188 Ga
0.7458 0.2542 0.3812 Ga
0.2542 0.2542 0.6188 Ga
0.2542 0.7458 0.3812 Ga
0.2822 0.7178 0.0000 Ga
0.7458 0.7458 0.3812 Ga
0.7458 0.2542 0.6188 Ga
0.2542 0.2542 0.3812 Ga
0.2542 0.7458 0.6188 Ga
0.0000 0.5000 0.5000 Ni
0.0000 0.0000 0.0000 Ni
0.5000 0.0000 0.5000 Ni
```

---

Here is Dy3Ga5Ni6 after structural relaxation from Alexandria via LeMat-Bulk. Energies are from PBE.

```
Dy3Ga5Ni6
1.0
4.1115 0.0000 0.0000
0.0000 8.9758 0.0000
0.0000 0.0000 12.0928
Dy Ga Ni
6 10 12
Direct
0.0000 0.2531 0.6925 Dy
0.5000 0.7469 0.1925 Dy
0.5000 0.7469 0.8075 Dy
0.0000 0.2300 0.0000 Dy
0.5000 0.7700 0.5000 Dy
0.0000 0.2531 0.3075 Dy
0.0000 0.5099 0.8628 Ga
0.0000 0.9111 0.6736 Ga
0.0000 0.7385 0.0000 Ga
0.5000 0.4901 0.6372 Ga
0.5000 0.2615 0.5000 Ga
0.0000 0.5099 0.1372 Ga
0.5000 0.4901 0.3628 Ga
0.0000 0.9111 0.3264 Ga
0.5000 0.0889 0.8264 Ga
0.5000 0.0889 0.1736 Ga
0.0000 0.9617 0.8852 Ni
0.5000 0.0383 0.6148 Ni
0.5000 0.3646 0.8369 Ni
0.5000 0.5379 0.0000 Ni
0.0000 0.4622 0.5000 Ni
0.0000 0.6354 0.6631 Ni
0.0000 0.6354 0.3369 Ni
0.5000 0.9367 0.0000 Ni
0.0000 0.9617 0.1148 Ni
0.5000 0.3646 0.1631 Ni
0.0000 0.0633 0.5000 Ni
0.5000 0.0383 0.3852 Ni
```

---

Dy3GaNi3, optimized geometry, DFT PBE; energy above the lowest structure with this stoichiometry = 0.000 eV per atom
1.0
4.1106 0.0000 0.0000
-2.0553 4.9343 0.0000
0.0000 0.0000 13.1207
Dy Ga Ni
6 2 6
Direct
0.2117 0.4235 0.8964 Dy
0.7883 0.5765 0.1036 Dy
0.2117 0.4235 0.6036 Dy
0.7883 0.5765 0.3964 Dy
0.4946 0.9892 0.7500 Dy
0.5054 0.0108 0.2500 Dy
0.5000 0.0000 0.0000 Ga
0.5000 0.0000 0.5000 Ga
0.9219 0.8437 0.9099 Ni
0.0781 0.1563 0.0901 Ni
0.9219 0.8437 0.5901 Ni
0.0781 0.1563 0.4099 Ni
0.7896 0.5791 0.7500 Ni
0.2104 0.4209 0.2500 Ni

---

Here is Dy2Ga3Ni4 after structural relaxation from Alexandria via LeMat-Bulk. Energies are from PBE.

```
Dy2Ga3Ni4
1.0
5.3800 0.0000 0.0000
0.0000 7.0677 0.0000
-2.6900 0.0000 7.4921
Dy Ga Ni
4 6 8
Direct
0.1059 0.5862 0.2118 Dy
0.8941 0.4138 0.7882 Dy
0.3941 0.0862 0.7882 Dy
0.6059 0.9138 0.2118 Dy
0.0000 0.0000 0.0000 Ga
0.5000 0.5000 0.0000 Ga
0.5161 0.7500 0.5322 Ga
0.9839 0.2500 0.4678 Ga
0.4839 0.2500 0.4678 Ga
0.0161 0.7500 0.5322 Ga
0.6806 0.7500 0.8612 Ni
0.8194 0.2500 0.1388 Ni
0.3194 0.2500 0.1388 Ni
0.1806 0.7500 0.8612 Ni
0.1729 0.9883 0.3458 Ni
0.8271 0.0117 0.6542 Ni
0.3271 0.4883 0.6542 Ni
0.6729 0.5117 0.3458 Ni
```

---

Here is DyGa4Ni after structural relaxation from Alexandria via LeMat-Bulk. Energies are from PBE.

```
DyGa4Ni
1.0
6.9667 0.0000 0.0000
0.0000 6.9667 0.0000
0.0000 0.0000 5.1805
Dy Ga Ni
2 8 2
Direct
0.0000 0.0000 0.5000 Dy
0.5000 0.5000 0.0000 Dy
0.3279 0.0000 0.0340 Ga
0.6721 0.0000 0.0340 Ga
0.0000 0.6721 0.9660 Ga
0.0000 0.3279 0.9660 Ga
0.5000 0.1721 0.5340 Ga
0.8279 0.5000 0.4660 Ga
0.1721 0.5000 0.4660 Ga
0.5000 0.8279 0.5340 Ga
0.0000 0.0000 0.0000 Ni
0.5000 0.5000 0.5000 Ni
```

---

no.,E_form (meV/atom),calculated volume (Å³/atom),magnetic moment (μB per atom)
1,-363,16.7,0.0000
2,-217,22.5,0.0000
3,-540,16.3,0.0000
4,-369,14.2,0.0000
5,-309,14.9,0.0002
6,-282,15.2,0.0000
7,-359,23.6,0.0000
8,-363,24.5,0.0000
9,-480,13.9,0.0000
10,-616,21.6,0.0000
11,-604,18.2,0.0000
12,-551,22.9,0.0001
13,-616,20.6,0.0000
14,-514,17.8,0.0000
15,-577,15.9,0.0000
16,-532,19.0,0.0000
17,-552,15.8,0.0000
18,-146,21.0,0.0000